Density functional theory data (PBE with a Hubbard U) for a relaxed structure of MnCoClF2.

Output
- Fermi-level density of states: 0.36 states/eV per cell
- Total moment: 7.00 μB/f.u.
- Raw total energy: -25.10 eV/cell

abc: 3.998 5.534 3.998
angles: 90.00 90.00 90.00
Each line ends with the local moment (μB).
Fractional positions:
Cl1 0.000 0.500 0.000  0.02
Co1 0.500 0.500 0.500  1.95
Mn1 0.000 0.000 0.000  4.65
F1 0.000 0.000 0.500  0.04
F2 0.500 0.000 0.000  0.07